1.
This record from the Alexandria database describes crystalline Na2ZrPb at its relaxed geometry. The functional is PBE.

```
8
Lattice="-4.1199 0.3634 7.7314 6.2859 -4.9532 3.5824 2.6273 0.1761 6.3637" Properties=species:S:1:pos:R:3 pbc="T T T"
Pb 0.0000 0.0000 0.0000
Pb -0.2048 -0.8777 9.8760
Na -1.2108 -0.3411 7.0180
Na 4.1489 -3.0132 4.6492
Na 2.6631 -1.4948 8.9473
Na 3.9854 -3.9782 14.7406
Zr 1.0830 -2.2949 5.6569
Zr 4.9981 -3.5360 7.8015
```

Summary:
As for the formation energy: 506 meV per atom.


2.
This record from the Alexandria database describes crystalline FeHg2SbCl at its relaxed geometry. The functional is PBE.

```
5
Lattice="5.6878 0.0000 0.0000 0.0000 5.0110 0.0000 0.0000 0.0000 5.6878" Properties=species:S:1:pos:R:3 pbc="T T T"
Sb 0.0000 0.0000 0.0000
Cl 2.8439 2.5055 2.8439
Hg 0.0000 0.0000 2.8439
Hg 2.8439 0.0000 0.0000
Fe 0.0000 2.5055 0.0000
```

Summary:
For the energy relative to the elements, uncorrected, the calculation gives 0.35 eV/atom.


3.
This record from the Alexandria database describes crystalline Sm5In4Hg at its relaxed geometry. The functional is PBE.

```
10
Lattice="3.8164 0.0000 0.0000 0.0000 3.8164 0.0000 0.0000 0.0000 19.2305" Properties=species:S:1:pos:R:3 pbc="T T T"
Sm 1.9082 1.9082 1.8798
Sm 1.9082 1.9082 5.7601
Sm 1.9082 1.9082 9.6153
Sm 1.9082 1.9082 13.4704
Sm 1.9082 1.9082 17.3507
In 0.0000 0.0000 3.8095
In 0.0000 0.0000 7.6917
In 0.0000 0.0000 11.5389
In 0.0000 0.0000 15.4211
Hg 0.0000 0.0000 0.0000
```

Summary:
As for the formation energy: -486 meV per atom.


4.
This record from the Alexandria database describes crystalline Pr4Y5Pu at its relaxed geometry. The functional is PBE.

```
20
Lattice="5.8034 0.0000 0.0000 0.0000 11.6081 0.0000 0.0000 0.0000 10.2958" Properties=species:S:1:pos:R:3 pbc="T T T"
Pr 4.3549 2.1141 0.0000
Pr 4.3526 0.0000 2.9374
Pr 4.3526 0.0000 7.3584
Pr 4.3549 9.4941 0.0000
Pr 1.4484 7.9181 5.1479
Pr 1.4508 5.8041 2.2105
Pr 1.4508 5.8041 8.0853
Pr 1.4484 3.6900 5.1479
Y 4.3528 3.5661 3.1874
Y 4.3528 3.5661 7.1084
Y 1.4502 0.0000 5.1479
Y 4.3528 8.0420 3.1874
Y 4.3528 8.0420 7.1084
Y 1.4506 9.3702 1.9605
Y 1.4506 9.3702 8.3353
Y 4.3531 5.8041 0.0000
Y 1.4506 2.2380 8.3353
Y 1.4506 2.2380 1.9605
Pu 1.4604 0.0000 0.0000
Pu 4.3430 5.8041 5.1479
```

Summary:
As for the formation energy: 254 meV per atom.


5.
This record from the Alexandria database describes crystalline Sc5Si2Pb at its relaxed geometry. The functional is PBE.

```
16
Lattice="6.5719 0.0000 -3.1023 -1.4645 6.4067 -3.1023 -0.1360 -0.1706 8.2241" Properties=species:S:1:pos:R:3 pbc="T T T"
Sc 2.2981 4.3672 2.1451
Sc 3.7800 6.2259 -3.2280
Sc 0.0000 0.0000 0.0000
Sc 2.5537 3.2034 -3.1023
Sc 1.1915 0.0102 5.2474
Sc 4.2138 1.1638 3.1376
Sc -0.7241 3.2135 4.2549
Sc 0.7577 5.0723 -1.1182
Sc 5.6956 3.0226 -2.2355
Sc 2.6733 1.8689 -0.1257
Si 0.3669 2.3271 -1.5512
Si 3.9845 0.8762 -2.3998
Si 1.1230 5.5305 -3.8049
Si 4.7406 4.0796 -4.6535
Pb 3.7626 4.7197 -0.5414
Pb 1.2089 1.5164 2.5609
```

Summary:
For the energy relative to the elements, uncorrected, the calculation gives -0.64 eV/atom.


6.
This record from the Alexandria database describes crystalline MnSi2Ru at its relaxed geometry. The functional is PBE.

```
4
Lattice="4.2203 0.0000 0.0000 2.1101 3.6549 0.0000 2.1101 1.2183 3.4458" Properties=species:S:1:pos:R:3 pbc="T T T"
Mn 4.2203 2.4366 1.7229
Ru 6.3304 3.6549 2.5844
Si 0.0000 0.0000 0.0000
Si 2.1101 1.2183 0.8615
```

Summary:
For the energy relative to the elements, uncorrected, the calculation gives 0.04 eV/atom.


7.
This record from the Alexandria database describes crystalline SmMg3Cd at its relaxed geometry. The functional is PBE.

```
10
Lattice="4.4221 0.0000 0.0001 0.0000 7.2985 1.8225 -0.0001 0.1461 7.9366" Properties=species:S:1:pos:R:3 pbc="T T T"
Sm 1.6848 3.8333 2.8681
Sm 3.8958 1.2093 4.7591
Mg 3.8958 4.7443 5.2357
Mg 1.6848 0.2983 2.3915
Mg 3.8958 5.0469 8.2681
Mg 3.8959 1.9232 0.8915
Mg 1.6847 3.1194 6.7358
Mg 1.6847 0.1418 7.2956
Cd 1.6847 6.0714 6.6266
Cd 3.8959 6.2696 2.8230
```

Summary:
As for the excess energy over the best structure of this formula in the dataset: 0.009 eV per atom. As for the formation energy: -101 meV per atom.


8.
This record from the Alexandria database describes crystalline KCu2Pt2 at its relaxed geometry. The functional is PBE.

```
5
Lattice="4.1289 0.0000 0.0000 0.0000 4.1289 0.0000 2.0644 2.0644 5.5240" Properties=species:S:1:pos:R:3 pbc="T T T"
K 0.0000 0.0000 0.0000
Cu 2.0644 2.0644 1.2583
Cu 4.1289 4.1289 4.2657
Pt 4.1289 2.0644 2.7620
Pt 2.0644 4.1289 2.7620
```

Summary:
As for the excess energy over the best structure of this formula in the dataset: 0.143 eV per atom. As for the formation energy: 152 meV per atom.


How do the records compare in Fermi-level density of states? In the order shown, they have 3.2, 2.6, 8.6, 19.2, 8.4, 2.0, 3.8, 2.7 states/eV/f.u..
How do the records compare in E_tot? In the order shown, they have -3.2177, -2.6614, -3.9710, -6.3228, -6.4203, -7.2808, -2.1846, -4.1222 eV/atom.